[1]
{
  "formula": "NiI2N2",
  "functional": "GGA-PBE",
  "state": "relaxed",
  "total_energy_ha_per_atom": -0.126,
  "relative_energy_ev_per_atom": 1.7353,
  "raw_formation_energy_mev_per_atom": 1687.5,
  "cell": [[-3.2458, 4.1741, 0.9034], [-1.3356, -2.0699, 4.7651], [2.5911, 1.6980, 1.4639]],
  "species": ["I", "N", "Ni", "I", "N"],
  "frac_coords": [[0.5000, 0.0000, 0.0000], [0.0000, 0.0000, 0.5000], [0.0000, 0.0000, 0.0000], [0.0000, 0.5000, 0.0000], [0.5000, 0.5000, 0.5000]]
}

[2]
{
  "formula": "CaBiAu2",
  "functional": "GGA-PBE",
  "state": "relaxed",
  "delta_e_f_ev_per_fu": -2.0,
  "total_energy_ha_per_atom": -0.132,
  "cell": [[3.8107, 0.0000, 0.0000], [0.0000, 3.8107, 0.0000], [0.0000, 0.0000, 6.5650]],
  "species": ["Bi", "Au", "Ca", "Au"],
  "frac_coords": [[0.5000, 0.5000, 0.5000], [0.0000, 0.0000, 0.2266], [0.5000, 0.5000, 0.0000], [0.0000, 0.0000, 0.7734]]
}

[3]
{
  "formula": "Ac4NiN",
  "functional": "GGA-PBE",
  "state": "relaxed",
  "total_energy_ha_per_atom": -0.201,
  "raw_formation_energy_mev_per_atom": -373.3,
  "cell": [[-1.2594, 6.6236, -1.2097], [-4.4802, 0.0993, 5.8512], [6.5748, 2.1629, 4.9976]],
  "species": ["Ac", "Ac", "Ac", "Ac", "Ac", "N", "Ac", "N", "Ni", "Ac", "Ni", "Ac"],
  "frac_coords": [[0.7874, 0.1619, 0.7500], [0.7335, 0.6676, 0.5249], [0.7335, 0.6676, 0.9751], [0.2126, 0.8381, 0.2500], [0.7114, 0.1750, 0.2500], [0.3651, 0.1255, 0.2500], [0.2665, 0.3324, 0.0249], [0.6349, 0.8745, 0.7500], [0.4902, 0.4455, 0.7500], [0.2665, 0.3324, 0.4751], [0.5098, 0.5545, 0.2500], [0.2886, 0.8250, 0.7500]]
}

[4]
{
  "formula": "BeNi2Au",
  "functional": "GGA-PBE",
  "state": "relaxed",
  "delta_e_f_ev_per_fu": 1.0,
  "total_energy_ha_per_atom": -0.162,
  "cell": [[3.4339, 0.0000, 0.0000], [0.0000, 3.4339, 0.0000], [1.7170, 1.7170, 8.7523]],
  "species": ["Ni", "Ni", "Ni", "Au", "Ni", "Au", "Be", "Be"],
  "frac_coords": [[0.8750, 0.8541, 0.7500], [0.3750, 0.3959, 0.7500], [0.6041, 0.1250, 0.2500], [0.7500, 0.2500, 0.5000], [0.1459, 0.6250, 0.2500], [0.0000, 0.0000, 0.0000], [0.5000, 0.5000, 0.0000], [0.2500, 0.7500, 0.5000]]
}

[5]
{
  "formula": "BaTa2Ir",
  "functional": "GGA-PBE",
  "state": "relaxed",
  "delta_e_f_ev_per_fu": 4.1,
  "total_energy_ha_per_atom": -0.279,
  "relative_energy_ev_per_atom": 0.8165,
  "cell": [[5.7849, -0.0095, 0.0000], [-3.0081, 4.9413, 0.0000], [0.0000, 0.0000, 2.9446]],
  "species": ["Ba", "Ir", "Ta", "Ta"],
  "frac_coords": [[0.5000, 0.0000, 0.5000], [0.0000, 0.5000, 0.5000], [0.5000, 0.5000, 0.0000], [0.0000, 0.0000, 0.0000]]
}

[6]
{
  "formula": "Sc2CdSe2",
  "functional": "GGA-PBE",
  "state": "relaxed",
  "total_energy_ha_per_atom": -0.187,
  "relative_energy_ev_per_atom": 0.0000,
  "raw_formation_energy_mev_per_atom": -980.9,
  "cell": [[-4.6041, 0.6876, 0.7495], [0.5745, -1.1094, 4.5465], [-0.9681, 5.4392, 3.8945]],
  "species": ["Sc", "Se", "Sc", "Se", "Cd"],
  "frac_coords": [[0.7500, 0.2500, 0.5000], [0.3532, 0.3532, 0.2935], [0.2500, 0.7500, 0.5000], [0.6468, 0.6468, 0.7065], [0.0000, 0.0000, 0.0000]]
}

[7]
{
  "formula": "Li2TaHg",
  "functional": "GGA-PBE",
  "state": "relaxed",
  "delta_e_f_ev_per_fu": 1.1,
  "total_energy_ha_per_atom": -0.137,
  "cell": [[-1.6772, -3.4919, -3.3529], [-0.0876, -4.8764, -1.5688], [-4.3230, -1.4966, 2.6905]],
  "species": ["Li", "Ta", "Li", "Hg"],
  "frac_coords": [[0.0042, 0.0042, 0.0060], [0.2500, 0.2500, 0.2500], [0.4958, 0.4958, 0.4940], [0.7500, 0.7500, 0.7500]]
}

[8]
{
  "formula": "Li3Ac2NdPb4",
  "functional": "GGA-PBE",
  "state": "relaxed",
  "delta_e_f_ev_per_fu": -4.7,
  "total_energy_ha_per_atom": -0.141,
  "cell": [[4.8398, 0.0000, 0.0000], [0.0000, 4.8398, 0.0000], [0.0000, 0.0000, 12.3933]],
  "species": ["Pb", "Li", "Nd", "Pb", "Li", "Ac", "Pb", "Ac", "Li", "Pb"],
  "frac_coords": [[0.0000, 0.5000, 0.3407], [0.0000, 0.5000, 0.1214], [0.5000, 0.5000, 0.5000], [0.0000, 0.0000, 0.0000], [0.5000, 0.0000, 0.8786], [0.0000, 0.5000, 0.7750], [0.5000, 0.0000, 0.6593], [0.5000, 0.0000, 0.2250], [0.0000, 0.0000, 0.5000], [0.5000, 0.5000, 0.0000]]
}

[9]
{
  "formula": "Li3ZnPb",
  "functional": "GGA-PBE",
  "state": "relaxed",
  "delta_e_f_ev_per_fu": -0.9,
  "total_energy_ha_per_atom": -0.085,
  "relative_energy_ev_per_atom": 0.0000,
  "cell": [[-3.3626, -2.3433, -2.3863], [2.0981, -4.6256, 1.5860], [-2.5886, 1.2357, 7.0284]],
  "species": ["Li", "Pb", "Li", "Li", "Li", "Zn", "Zn", "Li", "Pb", "Li"],
  "frac_coords": [[0.0000, 0.5000, 0.0000], [0.6391, 0.7500, 0.2626], [0.2500, 0.7500, 0.4874], [0.0000, 0.0000, 0.0000], [0.4408, 0.7500, 0.8757], [0.1584, 0.2500, 0.3258], [0.8416, 0.7500, 0.6742], [0.7500, 0.2500, 0.5126], [0.3609, 0.2500, 0.7374], [0.5592, 0.2500, 0.1243]]
}

[10]
{
  "formula": "RbBaTlZn2",
  "functional": "GGA-PBE",
  "state": "relaxed",
  "delta_e_f_ev_per_fu": 2.5,
  "total_energy_ha_per_atom": -0.039,
  "cell": [[5.9527, 0.0000, 0.0000], [0.0000, 6.2856, 0.0000], [0.0000, 0.0000, 5.9527]],
  "species": ["Zn", "Tl", "Rb", "Zn", "Ba"],
  "frac_coords": [[0.0000, 0.0000, 0.5000], [0.0000, 0.5000, 0.0000], [0.0000, 0.0000, 0.0000], [0.5000, 0.0000, 0.0000], [0.5000, 0.5000, 0.5000]]
}

[11]
{
  "formula": "LiSb2I",
  "functional": "GGA-PBE",
  "state": "relaxed",
  "total_energy_ha_per_atom": -0.096,
  "relative_energy_ev_per_atom": 0.5877,
  "raw_formation_energy_mev_per_atom": 314.2,
  "cell": [[0.0000, 3.8215, 3.8215], [3.8215, 0.0000, 3.8215], [3.8215, 3.8215, 0.0000]],
  "species": ["I", "Sb", "Sb", "Li"],
  "frac_coords": [[0.5000, 0.5000, 0.5000], [0.7500, 0.7500, 0.7500], [0.2500, 0.2500, 0.2500], [0.0000, 0.0000, 0.0000]]
}

[12]
{
  "formula": "AcCd5In2",
  "functional": "GGA-PBE",
  "state": "relaxed",
  "delta_e_f_ev_per_fu": -1.4,
  "total_energy_ha_per_atom": -0.071,
  "cell": [[0.6303, 3.3585, 3.0068], [5.3971, -1.9871, 4.5333], [6.2963, 3.3644, -1.6326]],
  "species": ["Cd", "In", "Ac", "In", "Cd", "Cd", "Cd", "Cd"],
  "frac_coords": [[0.6335, 0.5524, 0.1805], [0.2582, 0.2418, 0.2418], [0.0000, 0.0000, 0.0000], [0.7418, 0.7582, 0.7582], [0.3665, 0.4476, 0.8195], [0.0000, 0.5000, 0.5000], [0.3665, 0.8195, 0.4476], [0.6335, 0.1805, 0.5524]]
}